The following is a DFT calculation (PBE-GGA) of crystalline CsLiTh2Te4 at its relaxed geometry.

Electronic total energy, eV/atom: -4.89
Energy relative to the elements, uncorrected, eV per atom: -1.122
SG: No. 63
Calculated density, g/cm³: 6.4

Cell: 4.623 8.119 15.953 Å, 90.00 90.00 106.54°
Fractional coordinates of all 16 atoms:
Cs 0.112 0.224 0.750
Cs 0.888 0.776 0.250
Li 0.835 0.670 0.750
Li 0.165 0.330 0.250
Th 0.376 0.752 0.557
Th 0.624 0.248 0.057
Th 0.624 0.248 0.443
Th 0.376 0.752 0.943
Te 0.260 0.521 0.106
Te 0.740 0.479 0.606
Te 0.740 0.479 0.894
Te 0.260 0.521 0.394
Te 0.000 0.000 0.500
Te 0.000 0.000 0.000
Te 0.426 0.851 0.750
Te 0.574 0.149 0.250